# 1
## SrTcO3 (GGA-PBE)

Data for crystalline SrTcO3 at its relaxed geometry.

Cell and atoms, written as POSCAR:
```
SrTcO3
1.0
2.7861 1.6085 5.3968
-2.7861 1.6085 5.3968
0.0000 -3.2171 5.3968
Sr Tc O
2 2 6
Direct
0.1325 0.1325 0.1325
0.8675 0.8675 0.8675
0.3385 0.3385 0.3385
0.6615 0.6615 0.6615
0.0582 0.6869 0.4679
0.3131 0.5321 0.9418
0.4679 0.0582 0.6869
0.5321 0.9418 0.3131
0.6869 0.4679 0.0582
0.9418 0.3131 0.5321
```

Values from the calculation:
For the total magnetization, the calculation gives 6.0 μB per cell. The space-group type is No. 148. The calculation puts the energy at -7.30 eV/atom. As for the uncorrected formation energy: -184.7 kJ per mole of atoms.

# 2
## Pu2AlHg (GGA-PBE)

Data for crystalline Pu2AlHg at its relaxed geometry.

Cell and atoms, written as POSCAR:
```
Pu2AlHg
1.0
7.3746 0.0000 0.0000
0.0000 7.3746 0.0000
0.0000 0.0000 7.3746
Pu Al Hg
8 4 4
Direct
0.2500 0.2500 0.2500
0.2500 0.2500 0.7500
0.2500 0.7500 0.2500
0.2500 0.7500 0.7500
0.7500 0.2500 0.2500
0.7500 0.2500 0.7500
0.7500 0.7500 0.2500
0.7500 0.7500 0.7500
0.0000 0.0000 0.0000
0.0000 0.5000 0.5000
0.5000 0.0000 0.5000
0.5000 0.5000 0.0000
0.0000 0.0000 0.5000
0.0000 0.5000 0.0000
0.5000 0.0000 0.0000
0.5000 0.5000 0.5000
```

Values from the calculation:
For the total magnetization, the calculation gives 47.2 μB per cell. The space-group type is No. 225. The calculation puts the energy at -8.22 eV/atom. For the formation energy, the calculation gives -0.038 eV/atom.